1.
Below is a geometry-optimized SiAu2Br structure, with properties calculated at the PBE level.

Geometry as POSCAR:
```
SiAu2Br
1.0
-7.7488 -2.9699 1.1346
-5.3492 -6.1794 -1.8310
6.8443 3.9692 2.7481
Au Br Si
2 1 1
direct
0.0838 0.0838 0.0000
0.7540 0.2540 0.5000
0.4490 0.4490 0.0000
0.2132 0.7132 0.5000
```

* uncorrected formation energy: 0.101 eV/atom
* uncorrected energy: -0.122 hartree per atom
* total moment: 0.00 μB per formula unit
* excess energy over the best structure of this formula in the dataset: 96.3 meV/atom

---

2.
Below is a geometry-optimized Si2AuBr structure, with properties calculated at the PBE level.

Geometry as POSCAR:
```
Si2AuBr
1.0
3.0821 0.0000 0.0000
0.0000 6.0982 0.0000
0.0000 0.0000 4.4047
Br Au Si
1 1 2
direct
0.0000 0.5000 0.5000
0.5000 0.0000 0.5000
0.5000 0.5000 0.0000
0.0000 0.0000 0.0000
```

* uncorrected formation energy: 0.577 eV/atom
* uncorrected energy: -0.124 hartree per atom
* total moment: 0.00 μB per formula unit
* excess energy over the best structure of this formula in the dataset: 584.0 meV/atom

---

3.
Below is a geometry-optimized SiAu2Br structure, with properties calculated at the PBE level.

Geometry as POSCAR:
```
SiAu2Br
1.0
6.6351 0.0195 0.0000
4.4436 4.9273 0.0000
-5.5393 -2.4734 2.6874
Si Br Au
1 1 2
direct
0.7500 0.2500 0.5000
0.5000 0.5000 0.0000
0.0000 0.0000 0.0000
0.2500 0.7500 0.5000
```

* uncorrected formation energy: 0.453 eV/atom
* uncorrected energy: -0.109 hartree per atom
* total moment: 0.00 μB per formula unit
* excess energy over the best structure of this formula in the dataset: 448.2 meV/atom

---

4.
Below is a geometry-optimized SiAu3Br structure, with properties calculated at the PBE level.

Geometry as POSCAR:
```
SiAu3Br
1.0
-4.6697 -0.9894 -0.9469
-0.7867 -0.8160 4.7325
-1.1210 4.6943 0.6230
Au Si Br
3 1 1
direct
0.0000 0.5000 0.0000
0.5000 0.0000 0.0000
0.0000 0.0000 0.5000
0.0000 0.0000 0.0000
0.5000 0.5000 0.5000
```

* uncorrected formation energy: 0.372 eV/atom
* uncorrected energy: -0.111 hartree per atom
* total moment: 0.00 μB per formula unit
* excess energy over the best structure of this formula in the dataset: 0.0 meV/atom

---

5.
Below is a geometry-optimized SiAu2Br structure, with properties calculated at the PBE level.

Geometry as POSCAR:
```
SiAu2Br
1.0
-1.0432 6.0167 1.0574
-3.1737 2.4571 4.7221
4.4361 -4.0953 -1.3990
Au Br Si
2 1 1
direct
0.5000 0.5000 0.0000
0.0000 0.0000 0.0000
0.2500 0.7500 0.5000
0.7500 0.2500 0.5000
```

* uncorrected formation energy: 0.450 eV/atom
* uncorrected energy: -0.109 hartree per atom
* total moment: 0.00 μB per formula unit
* excess energy over the best structure of this formula in the dataset: 445.8 meV/atom

---

6.
Below is a geometry-optimized Si2AuBr structure, with properties calculated at the PBE level.

Geometry as POSCAR:
```
Si2AuBr
1.0
6.7717 -0.0172 0.0000
4.6988 4.8762 0.0000
-5.7353 -2.4295 2.6572
Si Br Au
2 1 1
direct
0.0000 0.0000 0.0000
0.2500 0.7500 0.5000
0.7500 0.2500 0.5000
0.5000 0.5000 0.0000
```

* uncorrected formation energy: 0.648 eV/atom
* uncorrected energy: -0.121 hartree per atom
* total moment: 0.00 μB per formula unit
* excess energy over the best structure of this formula in the dataset: 654.3 meV/atom

---

7.
Below is a geometry-optimized Si2AuBr structure, with properties calculated at the PBE level.

Geometry as POSCAR:
```
Si2AuBr
1.0
-1.8568 1.5169 2.5161
-2.0486 -2.8020 0.1776
4.4600 -2.9399 5.0636
Au Si Br
1 2 1
direct
0.0000 0.0000 0.4797
0.0000 0.0000 0.1663
0.5000 0.5000 0.0862
0.5000 0.5000 0.7678
```

* uncorrected formation energy: 0.150 eV/atom
* uncorrected energy: -0.140 hartree per atom
* total moment: 0.00 μB per formula unit
* excess energy over the best structure of this formula in the dataset: 156.0 meV/atom

---

8.
Below is a geometry-optimized SiAuBr2 structure, with properties calculated at the PBE level.

Geometry as POSCAR:
```
SiAuBr2
1.0
3.6443 0.0024 0.0000
-1.8225 3.1559 0.0000
0.0000 0.0000 8.4370
Br Au Si
2 1 1
direct
0.0000 0.0000 0.9984
0.0000 0.0000 0.5016
0.5000 0.5000 0.7500
0.5000 0.5000 0.2500
```

* uncorrected formation energy: 0.409 eV/atom
* uncorrected energy: -0.096 hartree per atom
* total moment: 0.00 μB per formula unit
* excess energy over the best structure of this formula in the dataset: 609.7 meV/atom